1.
Here is an optimized crystal structure of Li3MgRh2 from Alexandria via LeMat-Bulk. Energies are from GGA-PBE.

abc: 6.749 7.549 6.783
angles: 90.00 99.70 90.00
Space group C2/c (No. 15)
Symmetry-distinct sites (fractional):
Li: 0.000 0.066 0.250 (multiplicity 4)
Li: 0.229 0.090 0.002 (multiplicity 8)
Mg: 0.000 0.413 0.250 (multiplicity 4)
Rh: 0.127 0.259 0.626 (multiplicity 8)

VASP energy	-3.885	eV/atom
magnetic moment	0.077	μB/atom
density of states at the Fermi level	12.7	states/eV per cell


2.
Here is an optimized crystal structure of Li2Mg5Rh2 from Alexandria via LeMat-Bulk. Energies are from GGA-PBE.

abc: 14.093 4.418 5.484
angles: 90.00 104.68 90.00
Space group C2/m (No. 12)
Symmetry-distinct sites (fractional):
Li: 0.140 0.000 0.186 (multiplicity 4)
Mg: 0.000 0.000 0.500 (multiplicity 2)
Mg: 0.080 0.500 0.883 (multiplicity 4)
Mg: 0.218 0.000 0.686 (multiplicity 4)
Rh: 0.108 0.500 0.422 (multiplicity 4)

VASP energy	-3.205	eV/atom
magnetic moment	0.000	μB/atom
density of states at the Fermi level	7.0	states/eV per cell


3.
Here is an optimized crystal structure of LiMg4Rh2 from Alexandria via LeMat-Bulk. Energies are from GGA-PBE.

abc: 4.4833 4.4833 21.4295
angles: 90.00 90.00 120.00
Space group R-3m (No. 166, hexagonal axes)
Symmetry-distinct sites (fractional):
Li: 0.0000 0.0000 0.0000 (multiplicity 3)
Mg: 0.0000 0.0000 0.1312 (multiplicity 6)
Mg: 0.0000 0.0000 0.3850 (multiplicity 6)
Rh: 0.0000 0.0000 0.2576 (multiplicity 6)

VASP energy	-3.626	eV/atom
magnetic moment	0.000	μB/atom
density of states at the Fermi level	8.7	states/eV per cell


4.
Here is an optimized crystal structure of LiMgRh from Alexandria via LeMat-Bulk. Energies are from GGA-PBE.

abc: 6.040 6.040 6.040
angles: 90.00 90.00 90.00
Space group F-43m (No. 216)
Symmetry-distinct sites (fractional):
Li: 0.000 0.000 0.000 (multiplicity 4)
Mg: 0.000 0.000 0.500 (multiplicity 4)
Rh: 0.250 0.250 0.250 (multiplicity 4)

ΔE to the lowest computed polymorph	349	meV/atom
VASP energy	-3.554	eV/atom
magnetic moment	0.000	μB/atom
density of states at the Fermi level	4.2	states/eV per cell


5.
Here is an optimized crystal structure of Li2Mg5Rh4 from Alexandria via LeMat-Bulk. Energies are from GGA-PBE.

abc: 13.145 4.464 6.195
angles: 90.00 90.47 90.00
Space group C2/m (No. 12)
Symmetry-distinct sites (fractional):
Li: 0.079 0.000 0.111 (multiplicity 4)
Mg: 0.000 0.000 0.500 (multiplicity 2)
Mg: 0.165 0.500 0.479 (multiplicity 4)
Mg: 0.180 0.500 0.985 (multiplicity 4)
Rh: 0.009 0.500 0.772 (multiplicity 4)
Rh: 0.160 0.000 0.744 (multiplicity 4)

VASP energy	-4.026	eV/atom
magnetic moment	0.000	μB/atom
density of states at the Fermi level	8.7	states/eV per cell


6.
Here is an optimized crystal structure of Li3MgRh from Alexandria via LeMat-Bulk. Energies are from GGA-PBE.

abc: 4.613 4.613 4.613
angles: 90.00 90.00 90.00
Space group Pm-3m (No. 221)
Symmetry-distinct sites (fractional):
Li: 0.000 0.000 0.500 (multiplicity 3)
Mg: 0.500 0.500 0.500 (multiplicity 1)
Rh: 0.000 0.000 0.000 (multiplicity 1)

ΔE to the lowest computed polymorph	295	meV/atom
VASP energy	-2.700	eV/atom
magnetic moment	0.000	μB/atom
density of states at the Fermi level	2.2	states/eV per cell


7.
Here is an optimized crystal structure of Li6Mg8Rh from Alexandria via LeMat-Bulk. Energies are from GGA-PBE.

abc: 8.5079 8.5079 15.5497
angles: 90.00 90.00 120.00
Space group R-3 (No. 148, hexagonal axes)
Symmetry-distinct sites (fractional):
Li: 0.0288 0.2356 0.4108 (multiplicity 18)
Mg: 0.0000 0.0000 0.2415 (multiplicity 6)
Mg: 0.0385 0.2629 0.9108 (multiplicity 18)
Rh: 0.0000 0.0000 0.0000 (multiplicity 3)

VASP energy	-2.146	eV/atom
magnetic moment	0.000	μB/atom
density of states at the Fermi level	12.1	states/eV per cell


8.
Here is an optimized crystal structure of Li5Mg2Rh from Alexandria via LeMat-Bulk. Energies are from GGA-PBE.

abc: 5.839 11.638 4.123
angles: 90.00 90.00 90.00
Space group Pbam (No. 55)
Symmetry-distinct sites (fractional):
Li: 0.000 0.000 0.000 (multiplicity 2)
Li: 0.056 0.259 0.000 (multiplicity 4)
Li: 0.221 0.875 0.500 (multiplicity 4)
Mg: 0.193 0.608 0.500 (multiplicity 4)
Rh: 0.000 0.500 0.000 (multiplicity 2)

ΔE to the lowest computed polymorph	12	meV/atom
VASP energy	-2.633	eV/atom
magnetic moment	0.000	μB/atom
density of states at the Fermi level	8.5	states/eV per cell


9.
Here is an optimized crystal structure of LiMgRh from Alexandria via LeMat-Bulk. Energies are from GGA-PBE.

abc: 3.025 4.761 13.567
angles: 90.00 90.00 90.00
Space group Fmm2 (No. 42)
Symmetry-distinct sites (fractional):
Li: 0.000 0.000 0.000 (multiplicity 4)
Mg: 0.000 0.000 0.304 (multiplicity 4)
Rh: 0.000 0.000 0.650 (multiplicity 4)

ΔE to the lowest computed polymorph	164	meV/atom
VASP energy	-3.739	eV/atom
magnetic moment	0.000	μB/atom
density of states at the Fermi level	7.4	states/eV per cell


10.
Here is an optimized crystal structure of LiMg2Rh from Alexandria via LeMat-Bulk. Energies are from GGA-PBE.

abc: 3.262 3.262 6.321
angles: 90.00 90.00 90.00
Space group P4mm (No. 99)
Symmetry-distinct sites (fractional):
Li: 0.000 0.000 0.000 (multiplicity 1)
Mg: 0.000 0.000 0.587 (multiplicity 1)
Mg: 0.500 0.500 0.253 (multiplicity 1)
Rh: 0.500 0.500 0.804 (multiplicity 1)

VASP energy	-3.320	eV/atom
magnetic moment	0.000	μB/atom
density of states at the Fermi level	1.3	states/eV per cell


Computed formation enthalpy at 0 K, in the same sequence as the records: -0.21 -0.26 -0.34 0.07 -0.28 0.24 -0.04 -0.12 -0.12 -0.21 eV/atom.